No. 1
Compound: DyRu2C2
Source: the Alexandria database
Functional: PBE
Structure: relaxed

Properties
- E_tot: -0.304 hartree per atom
- SG: No. 139

Lattice parameters (Å, degrees): 3.7811 3.7811 5.4865 110.16 110.16 90.00
With the nearest neighbours (Å) after each atom.
Fractional positions:
C (0.3429, 0.3429, 0.6859)  4 Ru 2.09
Dy (0.0000, 0.0000, 0.0000)  8 Ru 3.05, 10 C 3.07-3.29
Ru (0.7500, 0.2500, 0.5000)  4 C 2.09
Ru (0.2500, 0.7500, 0.5000)  4 C 2.09
C (0.6571, 0.6571, 0.3141)  4 Ru 2.09

=====

No. 2
Compound: DySiRu2C
Source: the Alexandria database
Functional: PBE
Structure: relaxed

Properties
- E_tot: -0.301 hartree per atom
- ΔE_f (raw): -14.29 kcal/mol of atoms
- SG: No. 63

Lattice parameters (Å, degrees): 5.8839 5.8839 7.1503 90.00 90.00 142.16
With the nearest neighbours (Å) after each atom.
Fractional positions:
Ru (0.6639, 0.3361, 0.5571)  1 C 1.87
Si (0.7691, 0.2309, 0.2500)  6 Ru 2.47-2.49
Dy (0.9526, 0.0474, 0.7500)  4 C 2.67
C (0.5000, 0.5000, 0.0000)  2 Ru 1.87
Si (0.2309, 0.7691, 0.7500)  6 Ru 2.47-2.49
Ru (0.3361, 0.6639, 0.0571)  1 C 1.87
C (0.5000, 0.5000, 0.5000)  2 Ru 1.87
Dy (0.0474, 0.9526, 0.2500)  4 C 2.67
Ru (0.3361, 0.6639, 0.4429)  1 C 1.87
Ru (0.6639, 0.3361, 0.9429)  1 C 1.87

=====

No. 3
Compound: Dy3Sn2Ru3C
Source: the Alexandria database
Functional: PBE
Structure: relaxed

Properties
- E_tot: -0.250 hartree per atom
- SG: No. 189

Lattice parameters (Å, degrees): 3.5958 7.4401 7.4401 120.00 90.00 90.00
With the nearest neighbours (Å) after each atom.
Fractional positions:
Sn (0.5000, 0.6667, 0.3333)  6 Dy 3.02, 3 Ru 3.04
Ru (0.5000, 0.0000, 0.7884)  2 C 2.39
C (0.0000, 0.0000, 0.0000)  6 Ru 2.39, 3 Dy 2.60
Ru (0.5000, 0.7884, 0.0000)  2 C 2.39
Dy (0.0000, 0.6507, 0.6507)  1 C 2.60, 4 Ru 2.89
Dy (0.0000, 0.3493, 0.0000)  1 C 2.60, 4 Ru 2.89
Ru (0.5000, 0.2116, 0.2116)  2 C 2.39
Sn (0.5000, 0.3333, 0.6667)  6 Dy 3.02, 3 Ru 3.04
Dy (0.0000, 0.0000, 0.3493)  1 C 2.60, 4 Ru 2.89

=====

No. 4
Compound: Dy3Zn2Ru3C
Source: the Alexandria database
Functional: PBE
Structure: relaxed

Properties
- E_tot: -0.224 hartree per atom
- SG: No. 189

Lattice parameters (Å, degrees): 3.3474 7.3029 7.3029 120.00 90.00 90.00
With the nearest neighbours (Å) after each atom.
Fractional positions:
Dy (0.0000, 0.0000, 0.3628)  1 C 2.65, 4 Ru 2.86, 4 Zn 2.87
Dy (0.0000, 0.3628, 0.0000)  1 C 2.65, 4 Ru 2.86, 4 Zn 2.87
Ru (0.5000, 0.7781, 0.0000)  2 C 2.33
Zn (0.5000, 0.3333, 0.6667)  6 Dy 2.87, 3 Ru 2.93
Ru (0.5000, 0.0000, 0.7781)  2 C 2.33
Zn (0.5000, 0.6667, 0.3333)  6 Dy 2.87, 3 Ru 2.93
C (0.0000, 0.0000, 0.0000)  6 Ru 2.33
Dy (0.0000, 0.6372, 0.6372)  1 C 2.65, 4 Ru 2.86, 4 Zn 2.87
Ru (0.5000, 0.2219, 0.2219)  2 C 2.33

=====

| no. | M_tot (μB per cell) | DOS at the Fermi energy (states/eV per atom) |
| --- | --- | --- |
| 1 | 0.000 | 0.38 |
| 2 | 0.000 | 0.47 |
| 3 | 0.000 | 0.38 |
| 4 | 0.000 | 0.69 |